A relaxed MgH3Ir5 crystal, computed with PBE.

Output
Excess energy over the best structure of this formula in the dataset = 0 meV per atom
Volume = 102.39 Å³/f.u.
Theoretical density = 16031 kg/m³
SG = P1 (1)

abc: 4.4569 4.8776 5.5689
angles: 73.63 89.91 63.03
Last column: nearest neighbours and their distance in Å.
Sites, in units of the cell vectors:
Mg: 0.0000 0.0000 0.0000  2 H 2.19-2.28
H: 0.3642 0.0010 0.4044  3 Ir 1.76-1.90
H: 0.4880 0.0028 0.0283  1 H 1.77, 2 Ir 1.79-1.81
H: 0.6632 0.7991 0.8045  2 Ir 1.74-1.77, 1 H 1.77
Ir: 0.2854 0.4352 0.8896  1 H 1.79
Ir: 0.3013 0.4041 0.4074  1 H 1.86
Ir: 0.7119 0.5792 0.5895  2 H 1.77-1.90
Ir: 0.7179 0.5650 0.1179  2 H 1.74-1.81
Ir: 0.9906 0.9913 0.4978  1 H 1.76

=====

A relaxed Ti5Fe4Ru crystal, computed with PBE.

Output
Volume = 132.50 Å³/f.u.
Theoretical density = 7066 kg/m³
SG = P4/mmm (123)
DFT formation energy = -0.472 eV/atom

abc: 2.9826 2.9826 14.8945
angles: 90.00 90.00 90.00
Last column: nearest neighbours and their distance in Å.
Sites, in units of the cell vectors:
Ti: 0.0000 0.0000 0.0000  8 Fe 2.57
Ti: 0.0000 0.0000 0.1969  8 Fe 2.57
Ti: 0.0000 0.0000 0.3943  4 Fe 2.57, 4 Ru 2.63
Ti: 0.0000 0.0000 0.6057  4 Fe 2.57, 4 Ru 2.63
Ti: 0.0000 0.0000 0.8031  8 Fe 2.57
Fe: 0.5000 0.5000 0.0987  8 Ti 2.57
Fe: 0.5000 0.5000 0.2959  8 Ti 2.57
Fe: 0.5000 0.5000 0.7041  8 Ti 2.57
Fe: 0.5000 0.5000 0.9013  8 Ti 2.57
Ru: 0.5000 0.5000 0.5000  8 Ti 2.63

=====

A relaxed CsSi2C crystal, computed with PBE.

Output
Volume = 94.82 Å³/f.u.
Theoretical density = 3521 kg/m³
SG = I-42d (122)
Energy relative to the elements, uncorrected = 1.02 eV/atom

abc: 6.4282 6.4282 6.4282
angles: 119.34 119.34 91.14
Last column: nearest neighbours and their distance in Å.
Sites, in units of the cell vectors:
Cs: 0.0000 0.0000 0.0000  8 Si 3.40-3.78
Cs: 0.7500 0.2500 0.5000  8 Si 3.40-3.78
Si: 0.3010 0.1250 0.6760  2 C 2.03
Si: 0.3750 0.6990 0.8240  2 C 2.03
Si: 0.4490 0.6250 0.3240  2 C 2.03
Si: 0.8750 0.5510 0.1760  2 C 2.03
C: 0.2500 0.7500 0.5000  4 Si 2.03
C: 0.5000 0.5000 0.0000  4 Si 2.03

=====

A relaxed YInC2I crystal, computed with PBE.

Output
Volume = 117.48 Å³/f.u.
Theoretical density = 5013 kg/m³
SG = P4/mmm (123)
Energy relative to the elements, uncorrected = 1.70 eV/atom

abc: 4.3552 4.3552 6.1936
angles: 90.00 90.00 90.00
Last column: nearest neighbours and their distance in Å.
Sites, in units of the cell vectors:
Y: 0.0000 0.0000 0.0000  4 I 3.08, 2 In 3.10
In: 0.0000 0.0000 0.5000  4 C 2.18
C: 0.0000 0.5000 0.5000  2 In 2.18
C: 0.5000 0.0000 0.5000  2 In 2.18
I: 0.5000 0.5000 0.0000  4 Y 3.08

=====

A relaxed PrPa2Te5 crystal, computed with PBE.

Output
Volume = 242.69 Å³/f.u.
Theoretical density = 8491 kg/m³
SG = I4/mcm (140)
Energy relative to the elements, uncorrected = -1.01 eV/atom

abc: 9.2985 9.2985 9.2985
angles: 127.96 127.96 76.69
Last column: nearest neighbours and their distance in Å.
Sites, in units of the cell vectors:
Pr: 0.2500 0.2500 0.0000  10 Te 3.42-3.65
Pr: 0.7500 0.7500 0.0000  10 Te 3.42-3.65
Pa: 0.1413 0.6413 0.7825  8 Te 3.13-3.26, 1 Pa 3.26
Pa: 0.3587 0.1413 0.5000  8 Te 3.13-3.26, 1 Pa 3.26
Pa: 0.6413 0.8587 0.5000  8 Te 3.13-3.26, 1 Pa 3.26
Pa: 0.8587 0.3587 0.2175  8 Te 3.13-3.26, 1 Pa 3.26
Te: 0.0000 0.0000 0.0000  4 Pa 3.15
Te: 0.0141 0.1930 0.5000  3 Pa 3.13-3.26, 2 Pr 3.42
Te: 0.1930 0.6930 0.1790  3 Pa 3.13-3.26, 2 Pr 3.42
Te: 0.3070 0.4859 0.5000  3 Pa 3.13-3.26, 2 Pr 3.42
Te: 0.4859 0.9859 0.1790  3 Pa 3.13-3.26, 2 Pr 3.42
Te: 0.5000 0.5000 0.0000  4 Pa 3.15
Te: 0.5141 0.0141 0.8210  3 Pa 3.13-3.26, 2 Pr 3.42
Te: 0.6930 0.5141 0.5000  3 Pa 3.13-3.26, 2 Pr 3.42
Te: 0.8070 0.3070 0.8210  3 Pa 3.13-3.26, 2 Pr 3.42
Te: 0.9859 0.8070 0.5000  3 Pa 3.13-3.26, 2 Pr 3.42

=====

A relaxed PrTmPb2 crystal, computed with PBE.

Output
Volume = 123.82 Å³/f.u.
Theoretical density = 9713 kg/m³
SG = R-3m (166)
DFT formation energy = -0.345 eV/atom

abc: 9.8758 9.8758 9.8758
angles: 22.51 22.51 22.51
Last column: nearest neighbours and their distance in Å.
Sites, in units of the cell vectors:
Pr: 0.0000 0.0000 0.0000  6 Pb 3.35
Tm: 0.5000 0.5000 0.5000  6 Pb 3.20
Pb: 0.2464 0.2464 0.2464  3 Tm 3.20, 3 Pr 3.35
Pb: 0.7536 0.7536 0.7536  3 Tm 3.20, 3 Pr 3.35

=====

A relaxed CdH4Cl crystal, computed with PBE.

Output
Volume = 102.93 Å³/f.u.
Theoretical density = 2451 kg/m³
SG = P-1 (2)
DFT total energy = -2.978 eV/atom

abc: 3.9154 6.2631 8.8299
angles: 92.18 91.23 107.84
Last column: nearest neighbours and their distance in Å.
Sites, in units of the cell vectors:
Cd: 0.1131 0.2188 0.0342  1 Cd 2.65, 3 Cl 2.67-2.72
Cd: 0.8869 0.7812 0.9658  1 Cd 2.65, 3 Cl 2.67-2.72
H: 0.0784 0.3194 0.4411  1 H 0.75
H: 0.1865 0.2580 0.4825  1 H 0.75
H: 0.3924 0.8577 0.3247  1 H 0.75
H: 0.4765 0.0270 0.6604  1 H 0.75
H: 0.5235 0.9730 0.3396  1 H 0.75
H: 0.6076 0.1423 0.6753  1 H 0.75
H: 0.8135 0.7420 0.5175  1 H 0.75
H: 0.9216 0.6806 0.5589  1 H 0.75
Cl: 0.2647 0.5437 0.8284  3 Cd 2.67-2.72, 1 H 2.99
Cl: 0.7353 0.4563 0.1716  3 Cd 2.67-2.72, 1 H 2.99

=====

A relaxed Sm12Ni6Pt crystal, computed with PBE.

Output
Volume = 466.98 Å³/f.u.
Theoretical density = 8362 kg/m³
SG = Im-3 (204)
DFT formation energy = -0.330 eV/atom

abc: 8.4652 8.4652 8.4652
angles: 109.47 109.47 109.47
Last column: nearest neighbours and their distance in Å.
Sites, in units of the cell vectors:
Sm: 0.1152 0.2994 0.8158  3 Ni 2.71-2.93
Sm: 0.1842 0.4836 0.2994  3 Ni 2.71-2.93
Sm: 0.1842 0.8848 0.7006  3 Ni 2.71-2.93
Sm: 0.2994 0.1842 0.4836  3 Ni 2.71-2.93
Sm: 0.2994 0.8158 0.1152  3 Ni 2.71-2.93
Sm: 0.4836 0.2994 0.1842  3 Ni 2.71-2.93
Sm: 0.5164 0.7006 0.8158  3 Ni 2.71-2.93
Sm: 0.7006 0.1842 0.8848  3 Ni 2.71-2.93
Sm: 0.7006 0.8158 0.5164  3 Ni 2.71-2.93
Sm: 0.8158 0.1152 0.2994  3 Ni 2.71-2.93
Sm: 0.8158 0.5164 0.7006  3 Ni 2.71-2.93
Sm: 0.8848 0.7006 0.1842  3 Ni 2.71-2.93
Ni: 0.1249 0.5000 0.6249  1 Ni 2.44, 2 Sm 2.71
Ni: 0.3751 0.8751 0.5000  1 Ni 2.44, 2 Sm 2.71
Ni: 0.5000 0.3751 0.8751  1 Ni 2.44, 2 Sm 2.71
Ni: 0.5000 0.6249 0.1249  1 Ni 2.44, 2 Sm 2.71
Ni: 0.6249 0.1249 0.5000  1 Ni 2.44, 2 Sm 2.71
Ni: 0.8751 0.5000 0.3751  1 Ni 2.44, 2 Sm 2.71
Pt: 0.0000 0.0000 0.0000  12 Sm 3.44